Below is Na2V2TcO6 after structural relaxation, with properties calculated at the PBE+U level.

Properties
Its symmetry is C2/m. As for the crystal system: monoclinic. The calculation puts the final energy at -6.913 eV per atom.

Cell and atoms, written as POSCAR:
```
Na2V2TcO6
1.0
-1.176 -4.855 -0.858
4.325 1.383 2.252
-3.488 0.745 4.676
Na V Tc O
2 2 1 6
Direct
0.831 0.169 0.000
0.169 0.831 0.000
0.360 0.640 0.500
0.640 0.360 0.500
0.000 0.000 0.500
0.727 0.727 0.731
0.053 0.407 0.689
0.273 0.273 0.269
0.407 0.053 0.689
0.947 0.593 0.311
0.593 0.947 0.311
```



Below is NaVTc2O8 after structural relaxation, with properties calculated at the PBE+U level.

Properties
Its symmetry is P-3m1. As for the crystal system: trigonal. The calculation puts the final energy at -7.316 eV per atom.

Cell and atoms, written as POSCAR:
```
NaVTc2O8
1.0
-5.748 -0.298 -0.112
3.002 -3.559 3.386
-0.320 4.360 4.866
Na V Tc O
1 1 2 8
Direct
0.000 0.000 0.000
0.000 0.000 0.500
0.667 0.333 0.224
0.333 0.667 0.776
0.333 0.667 0.042
0.328 0.164 0.310
0.836 0.164 0.310
0.667 0.333 0.958
0.164 0.836 0.690
0.672 0.836 0.690
0.164 0.328 0.690
0.836 0.672 0.310
```



Below is NaTc2WO8 after structural relaxation, with properties calculated at the PBE+U level.

Properties
Its symmetry is Cmmm. As for the crystal system: orthorhombic. The calculation puts the final energy at -7.332 eV per atom.

Cell and atoms, written as POSCAR:
```
NaTc2WO8
1.0
4.884 0.096 -0.004
0.145 4.881 -0.006
0.004 0.006 5.978
Na Tc W O
1 2 1 8
Direct
0.000 0.000 0.500
0.500 0.500 0.762
0.500 0.500 0.238
0.000 0.000 0.000
0.210 0.789 0.216
0.714 0.714 0.000
0.790 0.211 0.216
0.790 0.211 0.784
0.286 0.286 0.000
0.210 0.789 0.784
0.665 0.665 0.500
0.335 0.335 0.500
```



What is the final energy in the third record?
-7.332 eV per atom